First-principles (PBE) data for Mn2PtSe after structural relaxation, as listed in Alexandria via LeMat-Bulk.

a = 3.3956 Å, b = 4.1247 Å, c = 9.4061 Å
α = 90.00°, β = 90.00°, γ = 90.00°
With the nearest neighbours (Å) after each atom.
Space group Imm2 (No. 44)
Symmetry-distinct sites (fractional):
Mn: 0.0000 0.0000 0.0000 x2  4 Se 2.71, 2 Pt 2.74, 2 Mn 2.93
Mn: 0.0000 0.5000 0.2212 x2  4 Pt 2.67, 2 Mn 2.93, 2 Se 2.98
Pt: 0.0000 0.5000 0.7282 x2  6 Mn 2.67-2.74, 2 Se 2.69
Se: 0.0000 0.0000 0.4498 x2  2 Pt 2.69, 6 Mn 2.71-2.98

Calculated values
Raw formation energy in eV per atom: 0.002

=====

First-principles (PBE) data for HoErGaSn after structural relaxation, as listed in Alexandria via LeMat-Bulk.

a = 7.3319 Å, b = 7.3319 Å, c = 7.3319 Å
α = 90.00°, β = 90.00°, γ = 90.00°
With the nearest neighbours (Å) after each atom.
Space group F-43m (No. 216)
Symmetry-distinct sites (fractional):
Ho: 0.0000 0.0000 0.0000 x4  4 Ga 3.17, 4 Sn 3.17
Er: 0.0000 0.0000 0.5000 x4  4 Sn 3.17, 4 Ga 3.17
Ga: 0.2500 0.2500 0.7500 x4  4 Er 3.17, 4 Ho 3.17
Sn: 0.2500 0.2500 0.2500 x4  4 Ho 3.17, 4 Er 3.17

Calculated values
Formation energy in meV/atom: -529.0

=====

Number 1 is which compound?
Mn2PtSe